First-principles (GGA-PBE) data for Er2NiHg after structural relaxation, as listed in Alexandria.

Output
Formation enthalpy at 0 K in meV/atom: -343
Total magnetization in μB per cell: 0.0
Symmetry: R3m, No. 160
Relative energy among the computed polymorphs in meV/atom: 122

Lattice parameters (Å, degrees): 3.9005 3.9005 22.5055 90.00 90.00 120.00
With the nearest neighbours (Å) after each atom.
Atoms (fractional coordinates):
Er  0.0000  0.0000  0.0000  3 Ni 2.68
Er  0.0000  0.0000  0.2014  3 Ni 2.71
Er  0.3333  0.6667  0.6667  3 Ni 2.68
Er  0.3333  0.6667  0.8681  3 Ni 2.71
Er  0.6667  0.3333  0.3333  3 Ni 2.68
Er  0.6667  0.3333  0.5348  3 Ni 2.71
Ni  0.0000  0.0000  0.6021  6 Er 2.68-2.71
Ni  0.3333  0.6667  0.2688  6 Er 2.68-2.71
Ni  0.6667  0.3333  0.9355  6 Er 2.68-2.71
Hg  0.0000  0.0000  0.7669  6 Er 3.19-3.20
Hg  0.3333  0.6667  0.4335  6 Er 3.19-3.20
Hg  0.6667  0.3333  0.1002  6 Er 3.19-3.20


First-principles (GGA-PBE) data for Cr2SbOs after structural relaxation, as listed in Alexandria.

Output
Total magnetization in μB per cell: 1.0
Symmetry: Cm, No. 8
Formation energy from raw total energies in meV per atom: 340

Lattice parameters (Å, degrees): 8.9387 2.9794 4.7213 90.00 102.32 90.00
With the nearest neighbours (Å) after each atom.
Atoms (fractional coordinates):
Cr  0.0000  0.0000  0.0000  3 Cr 2.63-2.72, 3 Os 2.65-2.77, 4 Sb 2.77-2.82
Cr  0.2404  0.5000  0.2119  2 Os 2.61, 3 Cr 2.63-2.72, 3 Sb 2.74-2.86
Cr  0.5000  0.5000  0.0000  3 Cr 2.63-2.72, 3 Os 2.65-2.77, 4 Sb 2.77-2.82
Cr  0.7404  0.0000  0.2119  2 Os 2.61, 3 Cr 2.63-2.72, 3 Sb 2.74-2.86
Sb  0.0025  0.5000  0.4947  7 Cr 2.74-2.86, 3 Os 2.75-2.81, 2 Sb 2.98
Sb  0.5025  0.0000  0.4947  7 Cr 2.74-2.86, 3 Os 2.75-2.81, 2 Sb 2.98
Os  0.2600  0.0000  0.7679  5 Cr 2.61-2.77, 3 Sb 2.75-2.81
Os  0.7600  0.5000  0.7679  5 Cr 2.61-2.77, 3 Sb 2.75-2.81


First-principles (GGA-PBE) data for Zn5Ga12Cu2 after structural relaxation, as listed in Alexandria.

Output
Formation enthalpy at 0 K in meV/atom: 48
Total magnetization in μB per cell: 0.0
Symmetry: C2/m, No. 12

Lattice parameters (Å, degrees): 7.3539 7.3539 7.9080 105.83 105.83 58.00
With the nearest neighbours (Å) after each atom.
Atoms (fractional coordinates):
Zn  0.0000  0.0000  0.0000  6 Ga 2.57-2.60, 2 Zn 2.70
Zn  0.2060  0.2060  0.9802  1 Zn 2.70, 7 Ga 2.74-2.97
Zn  0.3519  0.3519  0.5824  2 Cu 2.58, 6 Ga 2.67-2.76
Zn  0.6481  0.6481  0.4176  2 Cu 2.58, 6 Ga 2.67-2.76
Zn  0.7940  0.7940  0.0198  1 Zn 2.70, 7 Ga 2.74-2.97
Ga  0.0049  0.6135  0.3552  1 Cu 2.50, 2 Zn 2.67-2.76, 2 Ga 2.68-2.79
Ga  0.0062  0.0062  0.3280  1 Zn 2.57, 2 Cu 2.62, 1 Ga 2.77
Ga  0.1923  0.5826  0.8957  3 Zn 2.60-2.81, 4 Ga 2.68-2.85
Ga  0.3865  0.9951  0.6448  1 Cu 2.50, 2 Zn 2.67-2.76, 2 Ga 2.68-2.79
Ga  0.4134  0.4134  0.2166  2 Cu 2.55, 1 Zn 2.74, 2 Ga 2.82
Ga  0.4174  0.8077  0.1043  3 Zn 2.60-2.81, 4 Ga 2.68-2.85
Ga  0.5826  0.1923  0.8957  3 Zn 2.60-2.81, 4 Ga 2.68-2.85
Ga  0.5866  0.5866  0.7834  2 Cu 2.55, 1 Zn 2.74, 2 Ga 2.82
Ga  0.6135  0.0049  0.3552  1 Cu 2.50, 2 Zn 2.67-2.76, 2 Ga 2.68-2.79
Ga  0.8077  0.4174  0.1043  3 Zn 2.60-2.81, 4 Ga 2.68-2.85
Ga  0.9938  0.9938  0.6720  1 Zn 2.57, 2 Cu 2.62, 1 Ga 2.77
Ga  0.9951  0.3865  0.6448  1 Cu 2.50, 2 Zn 2.67-2.76, 2 Ga 2.68-2.79
Cu  0.3112  0.6888  0.5000  6 Ga 2.50-2.62, 2 Zn 2.58, 1 Cu 2.69
Cu  0.6888  0.3112  0.5000  6 Ga 2.50-2.62, 2 Zn 2.58, 1 Cu 2.69


First-principles (GGA-PBE) data for Mg5Pa3H12 after structural relaxation, as listed in Alexandria.

Output
Total magnetization in μB per cell: 0.0
Symmetry: Ia-3d, No. 230
Energy in eV per atom: -3.965

Lattice parameters (Å, degrees): 10.6505 10.6505 10.6505 109.47 109.47 109.47
With the nearest neighbours (Å) after each atom.
Atoms (fractional coordinates):
Mg  0.0000  0.0000  0.0000  6 H 2.10
Mg  0.0000  0.0000  0.5000  6 H 2.10
Mg  0.0000  0.5000  0.0000  6 H 2.10
Mg  0.0000  0.5000  0.5000  6 H 2.10
Mg  0.1250  0.7500  0.8750  4 H 2.04
Mg  0.1250  0.8750  0.2500  4 H 2.04
Mg  0.2500  0.1250  0.8750  4 H 2.04
Mg  0.2500  0.6250  0.3750  4 H 2.04
Mg  0.3750  0.2500  0.6250  4 H 2.04
Mg  0.3750  0.6250  0.7500  4 H 2.04
Mg  0.5000  0.0000  0.0000  6 H 2.10
Mg  0.5000  0.0000  0.5000  6 H 2.10
Mg  0.5000  0.5000  0.0000  6 H 2.10
Mg  0.5000  0.5000  0.5000  6 H 2.10
Mg  0.6250  0.3750  0.2500  4 H 2.04
Mg  0.6250  0.7500  0.3750  4 H 2.04
Mg  0.7500  0.3750  0.6250  4 H 2.04
Mg  0.7500  0.8750  0.1250  4 H 2.04
Mg  0.8750  0.1250  0.7500  4 H 2.04
Mg  0.8750  0.2500  0.1250  4 H 2.04
Pa  0.1250  0.2500  0.3750  8 H 2.21-2.23
Pa  0.1250  0.3750  0.7500  8 H 2.21-2.23
Pa  0.2500  0.3750  0.1250  8 H 2.21-2.23
Pa  0.2500  0.8750  0.6250  8 H 2.21-2.23
Pa  0.3750  0.1250  0.2500  8 H 2.21-2.23
Pa  0.3750  0.7500  0.1250  8 H 2.21-2.23
Pa  0.6250  0.2500  0.8750  8 H 2.21-2.23
Pa  0.6250  0.8750  0.7500  8 H 2.21-2.23
Pa  0.7500  0.1250  0.3750  8 H 2.21-2.23
Pa  0.7500  0.6250  0.8750  8 H 2.21-2.23
Pa  0.8750  0.6250  0.2500  8 H 2.21-2.23
Pa  0.8750  0.7500  0.6250  8 H 2.21-2.23
H  0.0619  0.2265  0.1456  2 Mg 2.04-2.10, 2 Pa 2.21-2.23, 1 H 2.24
H  0.0619  0.3354  0.9162  2 Mg 2.04-2.10, 2 Pa 2.21-2.23, 1 H 2.24
H  0.0809  0.7265  0.6646  2 Mg 2.04-2.10, 2 Pa 2.21-2.23, 1 H 2.24
H  0.0809  0.8544  0.4162  2 Mg 2.04-2.10, 2 Pa 2.21-2.23, 1 H 2.24
H  0.0838  0.6456  0.4191  2 Mg 2.04-2.10, 2 Pa 2.21-2.23, 1 H 2.24
H  0.0838  0.9381  0.6646  2 Mg 2.04-2.10, 2 Pa 2.21-2.23, 1 H 2.24
H  0.1456  0.0619  0.2265  2 Mg 2.04-2.10, 2 Pa 2.21-2.23, 1 H 2.24
H  0.1456  0.5838  0.9191  2 Mg 2.04-2.10, 2 Pa 2.21-2.23, 1 H 2.24
H  0.1646  0.2265  0.5809  2 Mg 2.04-2.10, 2 Pa 2.21-2.23, 1 H 2.24
H  0.1646  0.4381  0.5838  2 Mg 2.04-2.10, 2 Pa 2.21-2.23, 1 H 2.24
H  0.2265  0.1456  0.0619  2 Mg 2.04-2.10, 2 Pa 2.21-2.23, 1 H 2.24
H  0.2265  0.5809  0.1646  2 Mg 2.04-2.10, 2 Pa 2.21-2.23, 1 H 2.24
H  0.2735  0.3354  0.9191  2 Mg 2.04-2.10, 2 Pa 2.21-2.23, 1 H 2.24
H  0.2735  0.4381  0.3544  2 Mg 2.04-2.10, 2 Pa 2.21-2.23, 1 H 2.24
H  0.3354  0.9162  0.0619  2 Mg 2.04-2.10, 2 Pa 2.21-2.23, 1 H 2.24
H  0.3354  0.9191  0.2735  2 Mg 2.04-2.10, 2 Pa 2.21-2.23, 1 H 2.24
H  0.3544  0.2735  0.4381  2 Mg 2.04-2.10, 2 Pa 2.21-2.23, 1 H 2.24
H  0.3544  0.5809  0.9162  2 Mg 2.04-2.10, 2 Pa 2.21-2.23, 1 H 2.24
H  0.4162  0.0809  0.8544  2 Mg 2.04-2.10, 2 Pa 2.21-2.23, 1 H 2.24
H  0.4162  0.8354  0.5619  2 Mg 2.04-2.10, 2 Pa 2.21-2.23, 1 H 2.24
H  0.4191  0.0838  0.6456  2 Mg 2.04-2.10, 2 Pa 2.21-2.23, 1 H 2.24
H  0.4191  0.8354  0.7735  2 Mg 2.04-2.10, 2 Pa 2.21-2.23, 1 H 2.24
H  0.4381  0.3544  0.2735  2 Mg 2.04-2.10, 2 Pa 2.21-2.23, 1 H 2.24
H  0.4381  0.5838  0.1646  2 Mg 2.04-2.10, 2 Pa 2.21-2.23, 1 H 2.24
H  0.5619  0.4162  0.8354  2 Mg 2.04-2.10, 2 Pa 2.21-2.23, 1 H 2.24
H  0.5619  0.6456  0.7265  2 Mg 2.04-2.10, 2 Pa 2.21-2.23, 1 H 2.24
H  0.5809  0.1646  0.2265  2 Mg 2.04-2.10, 2 Pa 2.21-2.23, 1 H 2.24
H  0.5809  0.9162  0.3544  2 Mg 2.04-2.10, 2 Pa 2.21-2.23, 1 H 2.24
H  0.5838  0.1646  0.4381  2 Mg 2.04-2.10, 2 Pa 2.21-2.23, 1 H 2.24
H  0.5838  0.9191  0.1456  2 Mg 2.04-2.10, 2 Pa 2.21-2.23, 1 H 2.24
H  0.6456  0.4191  0.0838  2 Mg 2.04-2.10, 2 Pa 2.21-2.23, 1 H 2.24
H  0.6456  0.7265  0.5619  2 Mg 2.04-2.10, 2 Pa 2.21-2.23, 1 H 2.24
H  0.6646  0.0809  0.7265  2 Mg 2.04-2.10, 2 Pa 2.21-2.23, 1 H 2.24
H  0.6646  0.0838  0.9381  2 Mg 2.04-2.10, 2 Pa 2.21-2.23, 1 H 2.24
H  0.7265  0.5619  0.6456  2 Mg 2.04-2.10, 2 Pa 2.21-2.23, 1 H 2.24
H  0.7265  0.6646  0.0809  2 Mg 2.04-2.10, 2 Pa 2.21-2.23, 1 H 2.24
H  0.7735  0.4191  0.8354  2 Mg 2.04-2.10, 2 Pa 2.21-2.23, 1 H 2.24
H  0.7735  0.8544  0.9381  2 Mg 2.04-2.10, 2 Pa 2.21-2.23, 1 H 2.24
H  0.8354  0.5619  0.4162  2 Mg 2.04-2.10, 2 Pa 2.21-2.23, 1 H 2.24
H  0.8354  0.7735  0.4191  2 Mg 2.04-2.10, 2 Pa 2.21-2.23, 1 H 2.24
H  0.8544  0.4162  0.0809  2 Mg 2.04-2.10, 2 Pa 2.21-2.23, 1 H 2.24
H  0.8544  0.9381  0.7735  2 Mg 2.04-2.10, 2 Pa 2.21-2.23, 1 H 2.24
H  0.9162  0.0619  0.3354  2 Mg 2.04-2.10, 2 Pa 2.21-2.23, 1 H 2.24
H  0.9162  0.3544  0.5809  2 Mg 2.04-2.10, 2 Pa 2.21-2.23, 1 H 2.24
H  0.9191  0.1456  0.5838  2 Mg 2.04-2.10, 2 Pa 2.21-2.23, 1 H 2.24
H  0.9191  0.2735  0.3354  2 Mg 2.04-2.10, 2 Pa 2.21-2.23, 1 H 2.24
H  0.9381  0.6646  0.0838  2 Mg 2.04-2.10, 2 Pa 2.21-2.23, 1 H 2.24
H  0.9381  0.7735  0.8544  2 Mg 2.04-2.10, 2 Pa 2.21-2.23, 1 H 2.24


Question: Which of these has the highest total magnetization?
Answer: Cr2SbOs